Below is an optimized crystal structure of SrZn3Se, with properties calculated at the GGA-PBE level.

Results
offset from the most stable computed form: 0.0 meV per atom
formation energy (no corrections): 0.1326 eV/atom

Structure (CIF):
```
data_SrZn3Se
_space_group_name_H-M_alt 'P 1'
_space_group_IT_number 1
_space_group_name_Hall 'P 1'
_cell_length_a 5.1662
_cell_length_b 5.1662
_cell_length_c 5.1662
_cell_angle_alpha 90.00
_cell_angle_beta 90.00
_cell_angle_gamma 90.00
loop_
_atom_site_label
_atom_site_type_symbol
_atom_site_fract_x
_atom_site_fract_y
_atom_site_fract_z
_atom_site_occupancy
Sr1 Sr 0.5000 0.5000 0.5000 1
Zn1 Zn 0.0000 0.5000 0.0000 1
Zn2 Zn 0.0000 0.0000 0.5000 1
Zn3 Zn 0.5000 0.0000 0.0000 1
Se1 Se 0.0000 0.0000 0.0000 1
```

Below is an optimized crystal structure of SrZnSe2, with properties calculated at the GGA-PBE level.

Results
formation energy (no corrections): -1.0540 eV/atom

Structure (CIF):
```
data_SrZnSe2
_space_group_name_H-M_alt 'P 1'
_space_group_IT_number 1
_space_group_name_Hall 'P 1'
_cell_length_a 3.7121
_cell_length_b 4.1005
_cell_length_c 7.1356
_cell_angle_alpha 88.14
_cell_angle_beta 90.00
_cell_angle_gamma 90.00
loop_
_atom_site_label
_atom_site_type_symbol
_atom_site_fract_x
_atom_site_fract_y
_atom_site_fract_z
_atom_site_occupancy
Se1 Se 0.0000 0.7638 0.9993 1
Se2 Se 0.0000 0.7362 0.5007 1
Sr1 Sr 0.5000 0.2500 0.2500 1
Zn1 Zn 0.5000 0.7500 0.7500 1
```

Below is an optimized crystal structure of SrZnSe2, with properties calculated at the GGA-PBE level.

Results
formation energy (no corrections): -0.4457 eV/atom

Structure (CIF):
```
data_SrZnSe2
_space_group_name_H-M_alt 'P 1'
_space_group_IT_number 1
_space_group_name_Hall 'P 1'
_cell_length_a 5.1823
_cell_length_b 5.1823
_cell_length_c 5.1823
_cell_angle_alpha 60.00
_cell_angle_beta 60.00
_cell_angle_gamma 60.00
loop_
_atom_site_label
_atom_site_type_symbol
_atom_site_fract_x
_atom_site_fract_y
_atom_site_fract_z
_atom_site_occupancy
Se1 Se 0.0000 0.0000 0.0000 1
Se2 Se 0.2500 0.2500 0.2500 1
Sr1 Sr 0.5000 0.5000 0.5000 1
Zn1 Zn 0.7500 0.7500 0.7500 1
```

Below is an optimized crystal structure of SrZn2Se, with properties calculated at the GGA-PBE level.

Results
formation energy (no corrections): -0.6518 eV/atom

Structure (CIF):
```
data_SrZn2Se
_space_group_name_H-M_alt 'P 1'
_space_group_IT_number 1
_space_group_name_Hall 'P 1'
_cell_length_a 3.9851
_cell_length_b 4.0130
_cell_length_c 6.2035
_cell_angle_alpha 91.99
_cell_angle_beta 90.00
_cell_angle_gamma 90.00
loop_
_atom_site_label
_atom_site_type_symbol
_atom_site_fract_x
_atom_site_fract_y
_atom_site_fract_z
_atom_site_occupancy
Se1 Se 0.0000 0.3447 0.5084 1
Sr1 Sr 0.5000 0.8559 0.7043 1
Zn1 Zn 0.0000 0.9039 0.1434 1
Zn2 Zn 0.5000 0.3955 0.1440 1
```

Below is an optimized crystal structure of SrZnSe, with properties calculated at the GGA-PBE level.

Results
offset from the most stable computed form: 0.0 meV per atom
formation energy (no corrections): -1.1228 eV/atom

Structure (CIF):
```
data_SrZnSe
_space_group_name_H-M_alt 'P 1'
_space_group_IT_number 1
_space_group_name_Hall 'P 1'
_cell_length_a 6.1121
_cell_length_b 4.3472
_cell_length_c 9.0396
_cell_angle_alpha 88.03
_cell_angle_beta 90.00
_cell_angle_gamma 134.67
loop_
_atom_site_label
_atom_site_type_symbol
_atom_site_fract_x
_atom_site_fract_y
_atom_site_fract_z
_atom_site_occupancy
Se1 Se 0.7370 0.4739 0.6653 1
Se2 Se 0.2630 0.5261 0.3347 1
Zn1 Zn 0.2920 0.5840 0.0438 1
Zn2 Zn 0.7080 0.4160 0.9562 1
Sr1 Sr 0.7658 0.5316 0.3142 1
Sr2 Sr 0.2342 0.4684 0.6858 1
```

Below is an optimized crystal structure of SrZn2Se, with properties calculated at the GGA-PBE level.

Results
formation energy (no corrections): -0.3577 eV/atom

Structure (CIF):
```
data_SrZn2Se
_space_group_name_H-M_alt 'P 1'
_space_group_IT_number 1
_space_group_name_Hall 'P 1'
_cell_length_a 7.0925
_cell_length_b 7.0925
_cell_length_c 7.0925
_cell_angle_alpha 35.32
_cell_angle_beta 35.32
_cell_angle_gamma 35.32
loop_
_atom_site_label
_atom_site_type_symbol
_atom_site_fract_x
_atom_site_fract_y
_atom_site_fract_z
_atom_site_occupancy
Se1 Se 0.2500 0.2500 0.2500 1
Sr1 Sr 0.7500 0.7500 0.7500 1
Zn1 Zn 0.9804 0.9804 0.9804 1
Zn2 Zn 0.5196 0.5196 0.5196 1
```

Below is an optimized crystal structure of SrZn2Se, with properties calculated at the GGA-PBE level.

Results
formation energy (no corrections): -0.4954 eV/atom

Structure (CIF):
```
data_SrZn2Se
_space_group_name_H-M_alt 'P 1'
_space_group_IT_number 1
_space_group_name_Hall 'P 1'
_cell_length_a 8.3576
_cell_length_b 8.3576
_cell_length_c 6.5966
_cell_angle_alpha 50.69
_cell_angle_beta 50.69
_cell_angle_gamma 90.00
loop_
_atom_site_label
_atom_site_type_symbol
_atom_site_fract_x
_atom_site_fract_y
_atom_site_fract_z
_atom_site_occupancy
Sr1 Sr 0.0000 0.0000 0.0000 1
Sr2 Sr 0.7500 0.2500 0.5000 1
Zn1 Zn 0.5784 0.1250 0.2500 1
Zn2 Zn 0.1716 0.6250 0.2500 1
Zn3 Zn 0.3750 0.4216 0.7500 1
Zn4 Zn 0.8750 0.8284 0.7500 1
Se1 Se 0.5000 0.5000 0.0000 1
Se2 Se 0.2500 0.7500 0.5000 1
```

Below is an optimized crystal structure of SrZnSe2, with properties calculated at the GGA-PBE level.

Results
formation energy (no corrections): -0.9468 eV/atom

Structure (CIF):
```
data_SrZnSe2
_space_group_name_H-M_alt 'P 1'
_space_group_IT_number 1
_space_group_name_Hall 'P 1'
_cell_length_a 7.3928
_cell_length_b 7.3928
_cell_length_c 7.3928
_cell_angle_alpha 150.69
_cell_angle_beta 149.01
_cell_angle_gamma 43.17
loop_
_atom_site_label
_atom_site_type_symbol
_atom_site_fract_x
_atom_site_fract_y
_atom_site_fract_z
_atom_site_occupancy
Se1 Se 0.0618 0.0618 0.0000 1
Se2 Se 0.7810 0.2810 0.5000 1
Sr1 Sr 0.4562 0.4562 0.0000 1
Zn1 Zn 0.2010 0.7010 0.5000 1
```

Below is an optimized crystal structure of Sr4ZnSe, with properties calculated at the GGA-PBE level.

Results
formation energy (no corrections): 0.2783 eV/atom

Structure (CIF):
```
data_Sr4ZnSe
_space_group_name_H-M_alt 'P 1'
_space_group_IT_number 1
_space_group_name_Hall 'P 1'
_cell_length_a 7.1644
_cell_length_b 7.1644
_cell_length_c 7.1644
_cell_angle_alpha 60.00
_cell_angle_beta 60.00
_cell_angle_gamma 60.00
loop_
_atom_site_label
_atom_site_type_symbol
_atom_site_fract_x
_atom_site_fract_y
_atom_site_fract_z
_atom_site_occupancy
Sr1 Sr 0.8756 0.3748 0.3748 1
Sr2 Sr 0.3748 0.3748 0.8756 1
Sr3 Sr 0.3748 0.8756 0.3748 1
Sr4 Sr 0.3748 0.3748 0.3748 1
Zn1 Zn 0.7500 0.7500 0.7500 1
Se1 Se 0.0000 0.0000 0.0000 1
```

Below is an optimized crystal structure of SrZnSe, with properties calculated at the GGA-PBE level.

Results
offset from the most stable computed form: 216.8 meV per atom
formation energy (no corrections): -0.9060 eV/atom

Structure (CIF):
```
data_SrZnSe
_space_group_name_H-M_alt 'P 1'
_space_group_IT_number 1
_space_group_name_Hall 'P 1'
_cell_length_a 4.3372
_cell_length_b 4.3372
_cell_length_c 5.3085
_cell_angle_alpha 90.00
_cell_angle_beta 90.00
_cell_angle_gamma 120.00
loop_
_atom_site_label
_atom_site_type_symbol
_atom_site_fract_x
_atom_site_fract_y
_atom_site_fract_z
_atom_site_occupancy
Se1 Se 0.0000 0.0000 0.9717 1
Sr1 Sr 0.6667 0.3333 0.3129 1
Zn1 Zn 0.3333 0.6667 0.7155 1
```

Below is an optimized crystal structure of SrZnSe4, with properties calculated at the GGA-PBE level.

Results
formation energy (no corrections): -0.2422 eV/atom

Structure (CIF):
```
data_SrZnSe4
_space_group_name_H-M_alt 'P 1'
_space_group_IT_number 1
_space_group_name_Hall 'P 1'
_cell_length_a 5.9073
_cell_length_b 5.9073
_cell_length_c 5.9073
_cell_angle_alpha 60.00
_cell_angle_beta 60.00
_cell_angle_gamma 60.00
loop_
_atom_site_label
_atom_site_type_symbol
_atom_site_fract_x
_atom_site_fract_y
_atom_site_fract_z
_atom_site_occupancy
Sr1 Sr 0.2500 0.2500 0.2500 1
Zn1 Zn 0.0000 0.0000 0.0000 1
Se1 Se 0.1227 0.6258 0.6258 1
Se2 Se 0.6258 0.6258 0.6258 1
Se3 Se 0.6258 0.1227 0.6258 1
Se4 Se 0.6258 0.6258 0.1227 1
```

Below is an optimized crystal structure of SrZn2Se, with properties calculated at the GGA-PBE level.

Results
formation energy (no corrections): -0.4614 eV/atom

Structure (CIF):
```
data_SrZn2Se
_space_group_name_H-M_alt 'P 1'
_space_group_IT_number 1
_space_group_name_Hall 'P 1'
_cell_length_a 5.4450
_cell_length_b 5.4450
_cell_length_c 5.4450
_cell_angle_alpha 126.81
_cell_angle_beta 126.81
_cell_angle_gamma 78.57
loop_
_atom_site_label
_atom_site_type_symbol
_atom_site_fract_x
_atom_site_fract_y
_atom_site_fract_z
_atom_site_occupancy
Se1 Se 0.5000 0.5000 0.0000 1
Sr1 Sr 0.7500 0.2500 0.5000 1
Zn1 Zn 0.0000 0.0000 0.0000 1
Zn2 Zn 0.2500 0.7500 0.5000 1
```

Number 1: DFT total energy -1.665 eV per atom. Number 2: DFT total energy -3.535 eV per atom. Number 3: DFT total energy -2.927 eV per atom. Number 4: DFT total energy -2.580 eV per atom. Number 5: DFT total energy -3.270 eV per atom. Number 6: DFT total energy -2.286 eV per atom. Number 7: DFT total energy -2.424 eV per atom. Number 8: DFT total energy -3.428 eV per atom. Number 9: DFT total energy -1.636 eV per atom. Number 10: DFT total energy -3.053 eV per atom. Number 11: DFT total energy -3.058 eV per atom. Number 12: DFT total energy -2.390 eV per atom.